1.
The following is a GGA-PBE calculation of a relaxed structure of NdMgAl3, from Alexandria.

Properties
- Calculated formation energy: -0.25 eV per atom
- Total magnetic moment: 0.00 μB per cell

a = 3.903 Å, b = 25.824 Å, c = 4.471 Å
α = 90.00°, β = 90.00°, γ = 90.00°
Space group Cmcm (No. 63)
One atom of each set of equivalent atoms:
Nd 0.000 0.078 0.250
Mg 0.000 0.210 0.750
Al 0.000 0.319 0.750
Al 0.000 0.374 0.250
Al 0.000 0.475 0.250


2.
The following is a GGA-PBE calculation of a relaxed structure of NdMgAl4, from Alexandria.

Properties
- Calculated formation energy: -0.29 eV per atom
- Total magnetic moment: 0.00 μB per cell
- E above lowest polymorph: 0 meV/atom

a = 4.6091 Å, b = 4.6091 Å, c = 6.7336 Å
α = 90.00°, β = 90.00°, γ = 120.00°
Space group P6/mmm (No. 191)
One atom of each set of equivalent atoms:
Nd 0.0000 0.0000 0.0000
Mg 0.0000 0.0000 0.5000
Al 0.3333 0.6667 0.2843


3.
The following is a GGA-PBE calculation of a relaxed structure of Nd2Mg2Al, from Alexandria.

Properties
- Calculated formation energy: -0.15 eV per atom
- Total magnetic moment: 0.00 μB per cell

a = 9.067 Å, b = 5.225 Å, c = 6.419 Å
α = 90.00°, β = 118.15°, γ = 90.00°
Space group C2/m (No. 12)
One atom of each set of equivalent atoms:
Nd 0.103 0.000 0.309
Mg 0.181 0.500 0.042
Al 0.000 0.500 0.500